1.
DFT (PBE) results for a geometry-optimized AlZn3Ag7 structure.

```
AlZn3Ag7
1.0
4.797 -4.836 0.000
4.797 4.836 0.000
-2.418 0.000 4.290
Al Zn Ag
1 3 7
Direct
0.000 0.000 0.000
0.272 0.728 0.500
0.500 0.500 0.000
0.728 0.272 0.500
0.000 0.000 0.500
0.099 0.556 0.826
0.315 0.315 0.335
0.444 0.901 0.174
0.556 0.099 0.826
0.685 0.685 0.665
0.901 0.444 0.174
```

2.
DFT (PBE) results for a geometry-optimized AlZnAg2 structure.

```
AlZnAg2
1.0
6.439 0.000 0.000
0.000 6.439 0.000
0.000 0.000 6.439
Al Zn Ag
4 4 8
Direct
0.000 0.000 0.000
0.000 0.500 0.500
0.500 0.000 0.500
0.500 0.500 0.000
0.250 0.250 0.750
0.250 0.750 0.250
0.750 0.250 0.250
0.750 0.750 0.750
0.000 0.000 0.500
0.000 0.500 0.000
0.250 0.250 0.250
0.250 0.750 0.750
0.500 0.000 0.000
0.500 0.500 0.500
0.750 0.250 0.750
0.750 0.750 0.250
```

3.
DFT (PBE) results for a geometry-optimized AlZnAg5 structure.

Properties
Its distance to the lowest polymorph of the same formula is 0.000 eV/atom.

```
AlZnAg5
1.0
3.666 -3.088 0.000
3.666 3.088 0.000
0.000 0.000 10.948
Al Zn Ag
2 2 10
Direct
0.000 0.000 0.000
0.000 0.000 0.500
0.364 0.636 0.750
0.636 0.364 0.250
0.052 0.948 0.250
0.156 0.443 0.111
0.156 0.443 0.389
0.443 0.156 0.611
0.443 0.156 0.889
0.557 0.844 0.111
0.557 0.844 0.389
0.844 0.557 0.611
0.844 0.557 0.889
0.948 0.052 0.750
```

4.
DFT (PBE) results for a geometry-optimized AlZn2Ag2 structure.

Properties
Its distance to the lowest polymorph of the same formula is 0.230 eV/atom.

```
AlZn2Ag2
1.0
3.858 0.000 0.000
0.000 3.858 0.000
0.000 0.000 12.591
Al Zn Ag
2 4 4
Direct
0.000 0.000 0.000
0.500 0.500 0.500
0.000 0.000 0.404
0.000 0.000 0.596
0.500 0.500 0.096
0.500 0.500 0.904
0.000 0.500 0.250
0.000 0.500 0.750
0.500 0.000 0.250
0.500 0.000 0.750
```

5.
DFT (PBE) results for a geometry-optimized Al5ZnAg6 structure.

Properties
Its distance to the lowest polymorph of the same formula is 0.000 eV/atom.

```
Al5ZnAg6
1.0
4.555 -4.539 0.000
4.555 4.539 0.000
-0.857 0.000 4.891
Al Zn Ag
5 1 6
Direct
0.000 0.000 0.000
0.169 0.831 0.500
0.337 0.663 0.000
0.663 0.337 0.000
0.831 0.169 0.500
0.500 0.500 0.500
0.081 0.415 0.250
0.248 0.248 0.751
0.415 0.081 0.250
0.585 0.919 0.750
0.752 0.752 0.249
0.919 0.585 0.750
```

6.
DFT (PBE) results for a geometry-optimized AlZn2Ag structure.

```
AlZn2Ag
1.0
2.909 0.000 0.000
0.000 4.613 0.000
0.000 0.000 4.768
Al Zn Ag
1 2 1
Direct
0.000 0.000 0.000
0.500 0.000 0.511
0.500 0.500 0.830
0.000 0.500 0.327
```

Total DFT energy (no corrections) for the records above, in order: -2.3983, -2.6423, -2.7574, -2.2044, -3.1153, -2.2960 eV per atom
Magnetization for the records above, in order: 0.0, 0.0, 0.0, 0.0, 0.0, 0.0 μB/cell
Formation energy for the records above, in order: 0.10, 0.04, 0.00, 0.19, -0.02, -0.01 eV/atom